Record 1
Density functional theory data (meta-GGA SCAN) for SrEuHg2 at its PBEsol-relaxed geometry.

Summary:
Calculated density: 9.4 g cm⁻³
Symmetry: Fm-3m (225)
Crystal system: cubic
Volume: 28.43 Å³/atom
ΔE_f: -701 meV/atom

a b c (Å): 5.4379 5.4379 5.4379
angles (deg): 60.00 60.00 60.00
Each line ends with the local moment (μB).
Fractional positions:
Eu: 0.0000 0.0000 0.0000  6.89
Sr: 0.5000 0.5000 0.5000  0.01
Hg: 0.7500 0.7500 0.7500  0.01
Hg: 0.2500 0.2500 0.2500  0.01


Record 2
Density functional theory data (meta-GGA SCAN) for CdTeRu2 at its PBEsol-relaxed geometry.

Summary:
Calculated density: 11.0 g cm⁻³
Energy relative to the lowest polymorph listed for this composition: 230 meV per atom
Symmetry: I-4m2 (119)
Crystal system: tetragonal
Uncorrected formation energy: 53.31 kJ per mole of atoms
Volume: 16.64 Å³/atom

a b c (Å): 3.9003 3.9003 5.1715
angles (deg): 112.15 112.15 90.00
Each line ends with the local moment (μB).
Fractional positions:
Cd: 0.2500 0.7500 0.5000  -0.01
Ru: 0.0000 0.0000 0.0000  0.83
Ru: 0.7500 0.2500 0.5000  0.94
Te: 0.5000 0.5000 0.0000  0.00


Record 3
Density functional theory data (meta-GGA SCAN) for SmP3H5NO10 at its PBEsol-relaxed geometry.

Summary:
Calculated density: 3.3 g cm⁻³
Symmetry: P-1 (2)
Crystal system: triclinic
Uncorrected energy: -413.73 eV/cell
Volume: 10.74 Å³/atom

a b c (Å): 6.9744 7.8089 8.5738
angles (deg): 74.51 73.00 82.37
Fractional positions:
Sm: 0.2276 0.6314 0.0073
Sm: 0.7724 0.3686 0.9927
P: 0.3308 0.3076 0.8420
P: 0.6692 0.6924 0.1580
P: 0.1453 0.0407 0.1372
P: 0.8547 0.9593 0.8628
P: 0.3218 0.2379 0.3103
P: 0.6782 0.7621 0.6897
H: 0.3133 0.2178 0.5762
H: 0.6867 0.7822 0.4238
H: 0.1887 0.8126 0.6024
H: 0.8113 0.1874 0.3976
H: 0.1493 0.6036 0.6201
H: 0.8507 0.3964 0.3799
H: 0.3427 0.7071 0.4558
H: 0.6573 0.2929 0.5442
H: 0.0959 0.7611 0.4587
H: 0.9041 0.2389 0.5413
N: 0.1950 0.7207 0.5326
N: 0.8050 0.2793 0.4674
O: 0.4182 0.2943 0.6620
O: 0.5818 0.7057 0.3380
O: 0.4686 0.3737 0.9200
O: 0.5314 0.6263 0.0800
O: 0.1337 0.4256 0.8704
O: 0.8663 0.5744 0.1296
O: 0.2821 0.1055 0.9485
O: 0.7179 0.8945 0.0515
O: 0.0486 0.8477 0.8381
O: 0.9514 0.1523 0.1619
O: 0.1382 0.8426 0.1689
O: 0.8618 0.1574 0.8311
O: 0.2733 0.0680 0.2545
O: 0.7267 0.9320 0.7455
O: 0.4539 0.7474 0.7472
O: 0.5461 0.2526 0.2528
O: 0.1938 0.3984 0.2462
O: 0.8062 0.6016 0.7538
O: 0.2421 0.1694 0.5052
O: 0.7579 0.8306 0.4948


Question: What is the volume in the third record?
Answer: 10.74 Å³/atom


Copy entry 2 word for word.
Density functional theory data (meta-GGA SCAN) for CdTeRu2 at its PBEsol-relaxed geometry.

Summary:
Calculated density: 11.0 g cm⁻³
Energy relative to the lowest polymorph listed for this composition: 230 meV per atom
Symmetry: I-4m2 (119)
Crystal system: tetragonal
Uncorrected formation energy: 53.31 kJ per mole of atoms
Volume: 16.64 Å³/atom

a b c (Å): 3.9003 3.9003 5.1715
angles (deg): 112.15 112.15 90.00
Each line ends with the local moment (μB).
Fractional positions:
Cd: 0.2500 0.7500 0.5000  -0.01
Ru: 0.0000 0.0000 0.0000  0.83
Ru: 0.7500 0.2500 0.5000  0.94
Te: 0.5000 0.5000 0.0000  0.00